Record 1
Crystalline CuHClO at its relaxed geometry, computed with PBE-GGA.

Output
As for the total magnetization: 0.90 μB per formula unit. The crystal system is monoclinic. The total DFT energy (no corrections) comes out at -0.30981 Ry per atom.

Lattice parameters (Å, degrees): 6.8033 3.1368 6.2487 90.00 120.98 90.00
With the nearest neighbours (Å) after each atom.
Space group Cm (No. 8)
Inequivalent atoms, fractional coordinates:
1 Cu 0.0000 0.0000 0.0000 x2  2 O 1.97
2 H 0.2447 0.0000 0.6447 x2  1 O 0.98
3 Cl 0.2457 0.5000 0.2777 x2  2 Cu 2.30
4 O 0.3072 0.0000 0.8251 x2  1 H 0.98

---

Record 2
Crystalline CuHClO at its relaxed geometry, computed with PBE-GGA.

Output
As for the total magnetization: 0.00 μB per formula unit. The crystal system is monoclinic. The total DFT energy (no corrections) comes out at -0.29256 Ry per atom.

Lattice parameters (Å, degrees): 9.7602 6.1794 4.9795 90.00 104.14 90.00
With the nearest neighbours (Å) after each atom.
Space group P2_1/c (No. 14)
Inequivalent atoms, fractional coordinates:
1 Cu 0.0092 0.0755 0.2363 x4  3 O 1.80-1.96
2 H 0.4590 0.6381 0.7425 x4  1 Cl 1.29
3 Cl 0.3617 0.0087 0.1818 x4  1 H 1.29
4 O 0.0602 0.1658 0.6262 x4  3 Cu 1.80-1.96

---

Record 3
Crystalline Cu2HCl2O at its relaxed geometry, computed with PBE-GGA.

Output
As for the total magnetization: 1.01 μB per formula unit. The crystal system is orthorhombic. The total DFT energy (no corrections) comes out at -0.29173 Ry per atom.

Lattice parameters (Å, degrees): 10.2422 6.3009 6.2652 90.00 90.00 90.00
With the nearest neighbours (Å) after each atom.
Space group Cmc2_1 (No. 36)
Inequivalent atoms, fractional coordinates:
1 Cu 0.1295 0.1891 0.0000 x8  1 O 1.90
2 H 0.0000 0.4969 0.5818 x4  1 O 0.98
3 Cl 0.1740 0.1434 0.5954 x8  2 Cu 2.23-2.35
4 O 0.0000 0.4011 0.9634 x4  1 H 0.98

---

Record 4
Crystalline CuH4Cl2O2 at its relaxed geometry, computed with PBE-GGA.

Output
As for the total magnetization: 1.00 μB per formula unit. The crystal system is orthorhombic. The total DFT energy (no corrections) comes out at -0.31589 Ry per atom.

Lattice parameters (Å, degrees): 8.0113 3.9751 7.5314 90.00 90.00 90.00
With the nearest neighbours (Å) after each atom.
Space group Pmna (No. 53)
Inequivalent atoms, fractional coordinates:
1 Cu 0.0000 0.0000 0.0000 x2  2 O 1.94
2 H 0.1867 0.1204 0.4130 x8  1 O 0.99
3 Cl 0.0000 0.3380 0.2458 x4  2 H 2.14, 1 Cu 2.29
4 O 0.2423 0.0000 0.0000 x4  2 H 0.99

---

Record 5
Crystalline CuHClO at its relaxed geometry, computed with PBE-GGA.

Output
As for the total magnetization: 0.00 μB per formula unit. The crystal system is monoclinic. The total DFT energy (no corrections) comes out at -0.31264 Ry per atom.

Lattice parameters (Å, degrees): 6.1482 6.7819 5.6407 90.00 116.68 90.00
With the nearest neighbours (Å) after each atom.
Space group P2_1/c (No. 14)
Inequivalent atoms, fractional coordinates:
1 Cu 0.0302 0.1194 0.2529 x4  3 O 2.01-2.05
2 H 0.2939 0.6577 0.7345 x4  1 O 0.99
3 Cl 0.3166 0.0863 0.6787 x4  1 Cu 2.26, 1 H 2.27
4 O 0.1139 0.6437 0.6510 x4  1 H 0.99

---

Record 6
Crystalline Rb2CuH4Cl4O2 at its relaxed geometry, computed with PBE-GGA.

Output
As for the total magnetization: 1.00 μB per formula unit. The crystal system is tetragonal. The total DFT energy (no corrections) comes out at -0.29521 Ry per atom.

Lattice parameters (Å, degrees): 7.7908 7.7908 8.0872 90.00 90.00 90.00
With the nearest neighbours (Å) after each atom.
Space group P4_2/mnm (No. 136)
Inequivalent atoms, fractional coordinates:
1 Rb 0.0000 0.5000 0.2500 x4  4 H 3.42, 8 Cl 3.45
2 Cu 0.0000 0.0000 0.0000 x2  2 O 1.98
3 H 0.0732 0.0732 0.3170 x8  1 O 1.00
4 Cl 0.2060 0.2060 0.0000 x4  1 Cu 2.27
5 Cl 0.2080 0.2080 0.5000 x4  2 H 2.10
6 O 0.0000 0.0000 0.2444 x4  2 H 1.00

---

Record 7
Crystalline ZnCu3H6Cl2O6 at its relaxed geometry, computed with PBE-GGA.

Output
As for the total magnetization: 3.02 μB per formula unit. The energy above the most stable polymorph in this dataset is 10 meV/atom. The crystal system is trigonal.

Lattice parameters (Å, degrees): 6.3550 6.3550 5.7532 90.00 90.00 120.00
With the nearest neighbours (Å) after each atom.
Space group P-3m1 (No. 164)
Inequivalent atoms, fractional coordinates:
1 Zn 0.0000 0.0000 0.0000 x1  6 O 2.15
2 Cu 0.0000 0.5000 0.0000 x3  4 O 1.99
3 H 0.2005 0.4010 0.3206 x6  1 O 0.99
4 Cl 0.3333 0.6667 0.6177 x2  3 H 2.25
5 O 0.1776 0.3551 0.1543 x6  1 H 0.99

---

Record 8
Crystalline ZnCu15H24Cl8O24 at its relaxed geometry, computed with PBE-GGA.

Output
As for the total magnetization: 4.60 μB per formula unit. The energy above the most stable polymorph in this dataset is 4 meV/atom. The crystal system is trigonal.

Lattice parameters (Å, degrees): 7.0206 7.0206 54.9146 90.00 90.00 120.00
With the nearest neighbours (Å) after each atom.
Space group R-3m (No. 166, hexagonal axes)
Inequivalent atoms, fractional coordinates:
1 Zn 0.0000 0.0000 0.0000 x3  6 O 2.14
2 Cu 0.0000 0.0000 0.2498 x6  6 O 2.11
3 Cu 0.0000 0.0000 0.5000 x3  6 O 2.11
4 Cu 0.0002 0.5001 0.1250 x18  4 O 1.99
5 Cu 0.9996 0.4998 0.3750 x18  4 O 1.98-1.99
6 H 0.0620 0.5310 0.0637 x18  1 O 1.00
7 H 0.0626 0.5313 0.5637 x18  1 O 1.00
8 H 0.0627 0.5313 0.8137 x18  1 O 1.00
9 H 0.0660 0.5330 0.3134 x18  1 O 1.00
10 Cl 0.0000 0.0000 0.0814 x6  3 H 2.03
11 Cl 0.0000 0.0000 0.1687 x6  3 H 2.03
12 Cl 0.0000 0.0000 0.3310 x6  3 H 2.03
13 Cl 0.0000 0.0000 0.4187 x6  3 H 2.03
14 O 0.0833 0.5417 0.6941 x18  1 H 1.00
15 O 0.0872 0.5436 0.1938 x18  1 H 1.00
16 O 0.0871 0.5435 0.4439 x18  1 H 1.00
17 O 0.0884 0.5442 0.9437 x18  1 H 1.00

---

Record 9
Crystalline ZnCuH3ClO3 at its relaxed geometry, computed with PBE-GGA.

Output
As for the total magnetization: 1.00 μB per formula unit. The crystal system is monoclinic. The total DFT energy (no corrections) comes out at -0.33499 Ry per atom.

Lattice parameters (Å, degrees): 5.6029 6.4584 5.7748 90.00 92.13 90.00
With the nearest neighbours (Å) after each atom.
Space group P2_1/m (No. 11)
Inequivalent atoms, fractional coordinates:
1 Zn 0.0070 0.2500 0.4630 x2  5 O 2.10-2.25
2 Cu 0.5000 0.0000 0.5000 x2  4 O 1.97-1.99
3 H 0.1883 0.5546 0.1853 x4  1 O 0.98
4 H 0.4087 0.2500 0.8144 x2  1 O 0.98
5 Cl 0.2865 0.7500 0.8694 x2  3 H 2.30-2.45, 1 Zn 2.48
6 O 0.1792 0.5190 0.3504 x4  1 H 0.98
7 O 0.3667 0.2500 0.6479 x2  1 H 0.98

---

Record 10
Crystalline ZnCu15H24Cl8O24 at its relaxed geometry, computed with PBE-GGA.

Output
As for the total magnetization: 3.03 μB per formula unit. The energy above the most stable polymorph in this dataset is 0 meV/atom. The crystal system is triclinic.

Lattice parameters (Å, degrees): 9.2599 9.3020 9.3062 96.95 97.24 97.70
With the nearest neighbours (Å) after each atom.
Space group P-1 (No. 2)
Inequivalent atoms, fractional coordinates:
1 Zn 0.0000 0.0000 0.0000 x1  6 O 2.11-2.16
2 Cu 0.0000 0.5000 0.5000 x1  4 O 2.00-2.03
3 Cu 0.0055 0.2445 0.2523 x2  4 O 1.95-2.01
4 Cu 0.2496 0.5090 0.7425 x2  4 O 1.94-2.02
5 Cu 0.2502 0.7592 0.4989 x2  4 O 1.94-2.01
6 Cu 0.2510 0.2579 0.9992 x2  4 O 1.99-2.02
7 Cu 0.2536 0.9960 0.2412 x2  4 O 1.95-2.01
8 Cu 0.4930 0.2515 0.7470 x2  4 O 1.95-2.00
9 Cu 0.5000 0.0000 0.5000 x1  4 O 1.99-2.04
10 Cu 0.5000 0.5000 0.0000 x1  4 O 1.99-2.08
11 H 0.0146 0.1990 0.5144 x2  1 O 0.99
12 H 0.0186 0.0252 0.7231 x2  1 O 1.00
13 H 0.0213 0.7180 0.0199 x2  1 O 0.99
14 H 0.0275 0.5186 0.2338 x2  1 O 1.00
15 H 0.2296 0.5320 0.0175 x2  1 O 1.00
16 H 0.2339 0.0316 0.5185 x2  1 O 1.00
17 H 0.2666 0.4834 0.4677 x2  1 O 1.00
18 H 0.2823 0.9840 0.9741 x2  1 O 0.99
19 H 0.4730 0.2681 0.4759 x2  1 O 1.00
20 H 0.4736 0.7638 0.9779 x2  1 O 1.00
21 H 0.4813 0.9876 0.7967 x2  1 O 0.99
22 H 0.4855 0.4839 0.2985 x2  1 O 0.99
23 Cl 0.1759 0.6755 0.1814 x2  3 H 2.01-2.06
24 Cl 0.1811 0.1748 0.6797 x2  3 H 2.02-2.09
25 Cl 0.3174 0.3220 0.3234 x2  3 H 2.03-2.07
26 Cl 0.3249 0.8145 0.8248 x2  3 H 2.00-2.08
27 O 0.0404 0.5499 0.7210 x2  1 H 1.00
28 O 0.0459 0.2348 0.0452 x2  1 H 0.99
29 O 0.0501 0.0408 0.2306 x2  1 H 1.00
30 O 0.0561 0.7639 0.5559 x2  1 H 0.99
31 O 0.2199 0.5504 0.5340 x2  1 H 1.00
32 O 0.2372 0.0506 0.0413 x2  1 H 0.99
33 O 0.2721 0.4639 0.9487 x2  1 H 1.00
34 O 0.2811 0.9645 0.4527 x2  1 H 1.00
35 O 0.4419 0.4476 0.7395 x2  1 H 0.99
36 O 0.4498 0.9422 0.2437 x2  1 H 0.99
37 O 0.4580 0.2824 0.9558 x2  1 H 1.00
38 O 0.4585 0.7765 0.4567 x2  1 H 1.00

---

Record 11
Crystalline ZnCu3H6Cl2O6 at its relaxed geometry, computed with PBE-GGA.

Output
As for the total magnetization: 0.97 μB per formula unit. The energy above the most stable polymorph in this dataset is 0 meV/atom. The crystal system is trigonal.

Lattice parameters (Å, degrees): 7.0206 7.0206 13.7785 90.00 90.00 120.00
With the nearest neighbours (Å) after each atom.
Space group R-3m (No. 166, hexagonal axes)
Inequivalent atoms, fractional coordinates:
1 Zn 0.0000 0.0000 0.0000 x3  6 O 2.14
2 Cu 0.0000 0.5000 0.5000 x9  4 O 1.99
3 H 0.0657 0.5328 0.2535 x18  1 O 1.00
4 Cl 0.0000 0.0000 0.3241 x6  3 H 2.04
5 O 0.0841 0.5420 0.7763 x18  1 H 1.00

---

Record 12
Crystalline CuH2PdCl at its relaxed geometry, computed with PBE-GGA.

Output
As for the total magnetization: 0.00 μB per formula unit. The energy above the most stable polymorph in this dataset is 458 meV/atom. The crystal system is tetragonal.

Lattice parameters (Å, degrees): 3.4058 3.4058 7.3939 90.00 90.00 90.00
With the nearest neighbours (Å) after each atom.
Space group P4/mmm (No. 123)
Inequivalent atoms, fractional coordinates:
1 Cu 0.0000 0.0000 0.0000 x1  4 Pd 2.41
2 H 0.0000 0.5000 0.5000 x2  2 Cl 1.70
3 Pd 0.5000 0.5000 0.0000 x1  4 Cu 2.41
4 Cl 0.0000 0.0000 0.5000 x1  4 H 1.70